Entry 1:
CaTbAl4 (PBE, optimized geometry); density of states at the Fermi level = 4.2 states/eV/cell; formation energy from the elements = -406 meV/atom; space group = F-43m (216)
1.0
5.611 0.000 0.000
2.806 4.860 0.000
2.806 1.620 4.582
Tb Al Ca
1 4 1
direct
0.000 0.000 0.000 Tb
0.124 0.625 0.625 Al
0.625 0.625 0.124 Al
0.625 0.625 0.625 Al
0.625 0.124 0.625 Al
0.250 0.250 0.250 Ca

---

Entry 2:
NaGaPb2O6 (PBE, optimized geometry); density of states at the Fermi level = 0.4 states/eV/cell; space group = R3 (146); ΔE_f (raw) = -12.227 eV/f.u.
1.0
-3.539 -4.273 0.133
-1.438 -2.262 4.859
-5.461 0.980 2.009
Ga O Pb Na
1 6 2 1
direct
0.319 0.319 0.043 Ga
0.948 0.586 0.237 O
0.396 0.694 0.768 O
0.142 0.396 0.768 O
0.586 0.229 0.237 O
0.229 0.948 0.237 O
0.694 0.142 0.768 O
0.019 0.019 0.942 Pb
0.525 0.525 0.424 Pb
0.803 0.803 0.590 Na

---

Entry 3:
Sm3Y2Cd2 (PBE, optimized geometry); distance to the lowest polymorph of the same formula = 0.1189 eV per atom; density of states at the Fermi level = 8.3 states/eV/cell; formation energy from the elements = -47 meV/atom; space group = Cmmm (65)
1.0
5.082 0.000 0.674
0.000 3.503 0.000
1.021 0.000 11.793
Cd Y Sm
2 2 3
direct
0.431 0.500 0.137 Cd
0.569 0.500 0.863 Cd
0.710 0.500 0.580 Y
0.290 0.500 0.420 Y
0.855 0.000 0.290 Sm
0.145 0.000 0.710 Sm
0.000 0.000 0.000 Sm

---

Entry 4:
CsSrH (PBE, optimized geometry); density of states at the Fermi level = 3.9 states/eV/cell; energy = -2.03 eV per atom; space group = P-1 (2)
1.0
6.056 -0.062 0.017
3.064 2.908 -0.658
0.366 -1.899 15.832
Cs H Sr
2 2 2
direct
0.128 0.567 0.042 Cs
0.252 0.417 0.391 Cs
0.692 0.527 0.453 H
0.687 0.457 0.981 H
0.536 0.815 0.616 Sr
0.844 0.169 0.817 Sr

---

Entry 5:
Cs3PuNb2O8 (PBE, optimized geometry); density of states at the Fermi level = 7.4 states/eV/cell; space group = P-3m1 (164); ΔE_f (raw) = -34.211 eV/f.u.
1.0
-0.069 4.943 4.144
-1.425 -5.948 2.050
8.209 -1.361 1.760
O Pu Cs Nb
8 1 3 2
direct
0.172 0.828 0.340 O
0.343 0.172 0.660 O
0.657 0.828 0.340 O
0.828 0.172 0.660 O
0.172 0.343 0.340 O
0.333 0.667 0.053 O
0.667 0.333 0.947 O
0.828 0.657 0.660 O
0.000 0.000 0.500 Pu
0.333 0.667 0.716 Cs
0.667 0.333 0.284 Cs
0.000 0.000 0.000 Cs
0.333 0.667 0.268 Nb
0.667 0.333 0.732 Nb

---

Entry 6:
NbCdPd3 (PBE, optimized geometry); distance to the lowest polymorph of the same formula = 0.0000 eV per atom; density of states at the Fermi level = 8.5 states/eV/cell; formation energy from the elements = -162 meV/atom; space group = P-1 (2)
1.0
5.112 -0.518 -0.434
-0.402 4.645 -2.606
-0.690 0.611 7.106
Nb Pd Cd
2 6 2
direct
0.628 0.771 0.604 Nb
0.372 0.229 0.396 Nb
0.000 0.000 0.000 Pd
0.805 0.990 0.344 Pd
0.500 0.000 0.000 Pd
0.873 0.475 0.305 Pd
0.195 0.010 0.656 Pd
0.127 0.525 0.695 Pd
0.700 0.428 0.870 Cd
0.300 0.572 0.130 Cd

---

Entry 7:
LiCa3Cu3 (PBE, optimized geometry); density of states at the Fermi level = 7.6 states/eV/cell; formation energy from the elements = -110 meV/atom; space group = Cmcm (63)
1.0
-1.702 3.349 2.001
-3.513 -4.562 0.121
5.863 -4.196 12.010
Cu Ca Li
6 6 2
direct
0.081 0.162 0.094 Cu
0.919 0.838 0.594 Cu
0.203 0.406 0.250 Cu
0.797 0.594 0.750 Cu
0.081 0.162 0.406 Cu
0.919 0.838 0.906 Cu
0.507 0.013 0.250 Ca
0.791 0.582 0.394 Ca
0.209 0.418 0.606 Ca
0.791 0.582 0.106 Ca
0.493 0.987 0.750 Ca
0.209 0.418 0.894 Ca
0.500 0.000 0.500 Li
0.500 0.000 0.000 Li

---

Entry 8:
MgTlW2 (PBE, optimized geometry); distance to the lowest polymorph of the same formula = 0.1084 eV per atom; density of states at the Fermi level = 1.7 states/eV/cell; formation energy from the elements = 573 meV/atom; space group = Pm (6)
1.0
4.231 0.000 0.000
0.000 2.944 -0.002
0.000 2.170 6.035
Mg Tl W
1 1 2
direct
0.000 0.468 0.486 Mg
0.500 0.751 0.743 Tl
0.000 0.065 0.037 W
0.500 0.216 0.234 W

---

Entry 9:
NaF (PBE, optimized geometry); distance to the lowest polymorph of the same formula = 0.1033 eV per atom; density of states at the Fermi level = 0.0 states/eV/cell; space group = I4/m (87); ΔE_f (raw) = -5.251 eV/f.u.
1.0
9.042 0.000 0.000
0.000 9.042 0.000
0.000 0.000 3.956
Na F
8 8
direct
0.298 0.878 0.500 Na
0.378 0.202 0.000 Na
0.702 0.122 0.500 Na
0.622 0.798 0.000 Na
0.122 0.298 0.500 Na
0.878 0.702 0.500 Na
0.798 0.378 0.000 Na
0.202 0.622 0.000 Na
0.297 0.120 0.500 F
0.880 0.297 0.500 F
0.797 0.620 0.000 F
0.203 0.380 0.000 F
0.120 0.703 0.500 F
0.620 0.203 0.000 F
0.703 0.880 0.500 F
0.380 0.797 0.000 F

---

Entry 10:
Cs2RbIrCl6 (PBE, optimized geometry); density of states at the Fermi level = 0.0 states/eV/cell; space group = Fm-3m (225); ΔE_f (raw) = -14.016 eV/f.u.
1.0
7.769 0.000 0.000
0.000 7.769 0.000
3.884 3.884 5.493
Cl Rb Ir Cs
6 1 1 2
direct
0.784 0.784 0.000 Cl
0.216 0.216 0.568 Cl
0.784 0.216 0.000 Cl
0.216 0.216 0.000 Cl
0.784 0.784 0.432 Cl
0.216 0.784 0.000 Cl
0.500 0.500 0.000 Rb
0.000 0.000 0.000 Ir
0.750 0.250 0.500 Cs
0.250 0.750 0.500 Cs

---

Entry 11:
Na5Li3Ti2S8 (PBE, optimized geometry); density of states at the Fermi level = 0.0 states/eV/cell; space group = C2/c (15); ΔE_f (raw) = -23.319 eV/f.u.
1.0
10.097 -0.003 0.010
5.426 8.515 0.010
7.344 4.027 8.867
S Na Li Ti
16 10 6 4
direct
0.242 0.116 0.950 S
0.289 0.881 0.325 S
0.881 0.289 0.825 S
0.335 0.895 0.751 S
0.685 0.575 0.492 S
0.884 0.758 0.550 S
0.758 0.884 0.050 S
0.425 0.315 0.008 S
0.119 0.711 0.175 S
0.105 0.665 0.749 S
0.895 0.335 0.251 S
0.665 0.105 0.249 S
0.711 0.119 0.675 S
0.575 0.685 0.992 S
0.315 0.425 0.508 S
0.116 0.242 0.450 S
0.414 0.387 0.734 Na
0.990 0.010 0.750 Na
0.387 0.414 0.234 Na
0.394 0.902 0.483 Na
0.606 0.098 0.517 Na
0.902 0.394 0.983 Na
0.613 0.586 0.766 Na
0.010 0.990 0.250 Na
0.098 0.606 0.017 Na
0.586 0.613 0.266 Na
0.809 0.807 0.257 Li
0.807 0.809 0.757 Li
0.500 0.000 0.000 Li
0.000 0.500 0.500 Li
0.193 0.191 0.243 Li
0.191 0.193 0.743 Li
0.849 0.320 0.466 Ti
0.680 0.151 0.034 Ti
0.320 0.849 0.966 Ti
0.151 0.680 0.534 Ti

---

Entry 12:
La3Pm2Se8 (PBE, optimized geometry); density of states at the Fermi level = 9.1 states/eV/cell; space group = C2/m (12); ΔE_f (raw) = -22.735 eV/f.u.
1.0
-2.510 -6.643 1.789
7.626 -1.914 3.594
-5.157 5.799 3.633
Se La Pm
8 3 2
direct
0.417 0.892 0.254 Se
0.583 0.639 0.746 Se
0.901 0.622 0.244 Se
0.062 0.880 0.760 Se
0.417 0.361 0.254 Se
0.938 0.120 0.240 Se
0.099 0.378 0.756 Se
0.583 0.108 0.746 Se
0.500 0.000 0.000 La
0.000 0.736 0.000 La
0.000 0.264 0.000 La
0.653 0.738 0.476 Pm
0.347 0.262 0.524 Pm

---

Entry 13:
Tl2Co2H (PBE, optimized geometry); distance to the lowest polymorph of the same formula = 0.0277 eV per atom; density of states at the Fermi level = 5.3 states/eV/cell; space group = P4/mbm (127)
1.0
5.886 0.000 0.000
0.000 5.886 0.000
0.000 0.000 4.359
Tl Co H
4 4 2
direct
0.826 0.326 0.500 Tl
0.674 0.826 0.500 Tl
0.326 0.174 0.500 Tl
0.174 0.674 0.500 Tl
0.848 0.652 0.000 Co
0.652 0.152 0.000 Co
0.152 0.348 0.000 Co
0.348 0.848 0.000 Co
0.000 0.000 0.000 H
0.500 0.500 0.000 H

---

Entry 14:
Pa2InRh3 (PBE, optimized geometry); density of states at the Fermi level = 26.0 states/eV/cell; formation energy from the elements = -402 meV/atom; space group = Fd-3m (227)
1.0
-8.077 -3.366 2.592
-4.732 -5.374 -5.658
-0.863 -8.902 1.817
Rh Pa In
12 8 4
direct
0.376 0.376 0.874 Rh
0.874 0.874 0.376 Rh
0.126 0.624 0.126 Rh
0.126 0.126 0.624 Rh
0.624 0.126 0.624 Rh
0.624 0.126 0.126 Rh
0.126 0.624 0.624 Rh
0.874 0.376 0.874 Rh
0.874 0.376 0.376 Rh
0.376 0.874 0.376 Rh
0.624 0.624 0.126 Rh
0.376 0.874 0.874 Rh
0.728 0.316 0.728 Pa
0.728 0.728 0.728 Pa
0.272 0.684 0.272 Pa
0.728 0.728 0.316 Pa
0.684 0.272 0.272 Pa
0.272 0.272 0.272 Pa
0.272 0.272 0.684 Pa
0.316 0.728 0.728 Pa
0.000 0.500 0.000 In
0.000 0.000 0.500 In
0.500 0.000 0.000 In
0.000 0.000 0.000 In

---

Entry 15:
ScTl2Ag (PBE, optimized geometry); density of states at the Fermi level = 2.5 states/eV/cell; formation energy from the elements = 15 meV/atom; space group = R3m (160)
1.0
-8.739 4.649 1.148
-9.717 2.031 -0.867
-9.503 1.593 2.543
Tl Ag Sc
2 1 1
direct
0.006 0.006 0.006 Tl
0.245 0.245 0.245 Tl
0.494 0.494 0.494 Ag
0.755 0.755 0.755 Sc

---

Entry 16:
Rb8PtAu2O (PBE, optimized geometry); density of states at the Fermi level = 5.3 states/eV/cell; space group = P2/m (10); ΔE_f (raw) = -3.567 eV/f.u.
1.0
7.825 0.041 -0.005
0.053 7.832 -0.008
0.005 0.013 9.692
Au Rb O Pt
2 8 1 1
direct
0.500 0.500 0.232 Au
0.500 0.500 0.768 Au
0.743 0.751 0.000 Rb
0.829 0.178 0.785 Rb
0.171 0.823 0.785 Rb
0.829 0.177 0.215 Rb
0.257 0.249 0.000 Rb
0.300 0.287 0.500 Rb
0.700 0.713 0.500 Rb
0.171 0.822 0.215 Rb
0.000 0.000 0.000 O
0.000 0.000 0.500 Pt

---

Entry 17:
CeEr4Tl4 (PBE, optimized geometry); density of states at the Fermi level = 30.5 states/eV/cell; formation energy from the elements = -56 meV/atom; space group = P4_2/nmc (137)
1.0
7.399 0.000 0.000
0.000 7.399 0.000
0.000 0.000 10.332
Tl Ce Er
8 2 8
direct
0.000 0.283 0.708 Tl
0.283 0.000 0.292 Tl
0.717 0.000 0.292 Tl
0.000 0.717 0.708 Tl
0.217 0.500 0.208 Tl
0.500 0.217 0.792 Tl
0.783 0.500 0.208 Tl
0.500 0.783 0.792 Tl
0.000 0.000 0.000 Ce
0.500 0.500 0.500 Ce
0.266 0.000 0.593 Er
0.500 0.766 0.093 Er
0.000 0.266 0.407 Er
0.500 0.234 0.093 Er
0.000 0.734 0.407 Er
0.234 0.500 0.907 Er
0.734 0.000 0.593 Er
0.766 0.500 0.907 Er

---

Entry 18:
Th4Ga12Re (PBE, optimized geometry); density of states at the Fermi level = 9.4 states/eV/cell; formation energy from the elements = -484 meV/atom; space group = Im-3m (229)
1.0
-4.888 4.849 -3.357
6.257 -0.742 -4.356
-3.354 -6.836 0.836
Re Ga Th
1 12 4
direct
0.000 0.000 0.000 Re
0.293 0.000 0.293 Ga
0.250 0.500 0.750 Ga
0.500 0.250 0.750 Ga
0.000 0.293 0.293 Ga
0.293 0.293 0.000 Ga
0.707 0.000 0.707 Ga
0.707 0.707 0.000 Ga
0.250 0.750 0.500 Ga
0.750 0.500 0.250 Ga
0.750 0.250 0.500 Ga
0.500 0.750 0.250 Ga
0.000 0.707 0.707 Ga
0.000 0.500 0.000 Th
0.000 0.000 0.500 Th
0.500 0.000 0.000 Th
0.500 0.500 0.500 Th

---

Entry 19:
Dy3Mo2C4 (PBE, optimized geometry); density of states at the Fermi level = 3.6 states/eV/cell; formation energy from the elements = -158 meV/atom; space group = C2/m (12)
1.0
3.231 0.000 0.000
-1.615 5.486 0.244
0.000 -1.940 7.322
Dy C Mo
3 4 2
direct
0.000 0.000 0.000 Dy
0.401 0.802 0.613 Dy
0.599 0.198 0.387 Dy
0.334 0.668 0.902 C
0.666 0.332 0.098 C
0.929 0.858 0.297 C
0.071 0.142 0.703 C
0.303 0.605 0.165 Mo
0.697 0.395 0.835 Mo

---

Entry 20:
ThZrCuPd (PBE, optimized geometry); density of states at the Fermi level = 5.5 states/eV/cell; formation energy from the elements = -266 meV/atom; space group = F-43m (216)
1.0
-1.679 2.823 3.674
-2.412 -2.049 3.777
2.117 -0.224 4.444
Cu Th Pd Zr
1 1 1 1
direct
0.000 0.000 0.000 Cu
0.750 0.750 0.750 Th
0.500 0.500 0.500 Pd
0.250 0.250 0.250 Zr